1.
Compound: NdNiAg
Source: the Alexandria database
Functional: PBE
Structure: relaxed

Output
DFT formation energy = -0.1149 eV/atom
density = 7.5 g cm⁻³
crystal system = cubic
V = 69 Å³/f.u.
uncorrected energy = -55.0 eV per cell

a = 6.4983 Å, b = 6.4983 Å, c = 6.4983 Å
α = 90.00°, β = 90.00°, γ = 90.00°
Last column: nearest neighbours and their distance in Å.
Space group F-43m (No. 216)
Inequivalent atoms, fractional coordinates:
Nd1 0.0000 0.0000 0.0000 (multiplicity 4)  4 Ni 2.81
Ni1 0.2500 0.2500 0.2500 (multiplicity 4)  4 Nd 2.81, 4 Ag 2.81
Ag1 0.0000 0.0000 0.5000 (multiplicity 4)  4 Ni 2.81

2.
Compound: NdNiAg
Source: the Alexandria database
Functional: PBE
Structure: relaxed

Output
DFT formation energy = -0.0984 eV/atom
density = 8.4 g cm⁻³
crystal system = tetragonal
V = 62 Å³/f.u.
uncorrected energy = -27.4 eV per cell

a = 3.5544 Å, b = 3.5544 Å, c = 9.7720 Å
α = 90.00°, β = 90.00°, γ = 90.00°
Last column: nearest neighbours and their distance in Å.
Space group I4mm (No. 107)
Inequivalent atoms, fractional coordinates:
Nd1 0.0000 0.0000 0.0000 (multiplicity 2)  5 Ag 2.95-3.17, 4 Ni 2.97
Ni1 0.0000 0.0000 0.3389 (multiplicity 2)  4 Ag 2.86, 4 Nd 2.97
Ag1 0.0000 0.0000 0.6984 (multiplicity 2)  4 Ni 2.86, 5 Nd 2.95-3.17

3.
Compound: Nd4Ni2Ag
Source: the Alexandria database
Functional: PBE
Structure: relaxed

Output
DFT formation energy = -0.1260 eV/atom
density = 7.2 g cm⁻³
crystal system = trigonal
V = 185 Å³/f.u.
uncorrected energy = -103.1 eV per cell

a = 4.7483 Å, b = 4.7483 Å, c = 28.4695 Å
α = 90.00°, β = 90.00°, γ = 120.00°
Last column: nearest neighbours and their distance in Å.
Space group R-3m (No. 166, hexagonal axes)
Inequivalent atoms, fractional coordinates:
Nd1 0.0000 0.0000 0.1147 (multiplicity 6)  3 Ni 3.03, 3 Ag 3.12
Nd2 0.0000 0.0000 0.2975 (multiplicity 6)  4 Ni 2.91-3.01
Ni1 0.0000 0.0000 0.4031 (multiplicity 6)  1 Ag 2.76, 7 Nd 2.91-3.03
Ag1 0.0000 0.0000 0.5000 (multiplicity 3)  2 Ni 2.76

4.
Compound: Nd6Ni2Ag
Source: the Alexandria database
Functional: PBE
Structure: relaxed

Output
DFT formation energy = -0.2024 eV/atom
density = 7.3 g cm⁻³
crystal system = orthorhombic
V = 247 Å³/f.u.
uncorrected energy = -179.4 eV per cell

a = 9.4905 Å, b = 10.0765 Å, c = 10.3335 Å
α = 90.00°, β = 90.00°, γ = 90.00°
Last column: nearest neighbours and their distance in Å.
Space group Immm (No. 71)
Inequivalent atoms, fractional coordinates:
Nd1 0.0000 0.1979 0.2265 (multiplicity 8)  1 Ni 2.84, 1 Ag 3.07
Nd2 0.1939 0.5000 0.1748 (multiplicity 8)  3 Ni 2.79-2.95
Nd3 0.2074 0.3209 0.5000 (multiplicity 8)  3 Ni 2.96-3.31
Ni1 0.0000 0.3578 0.0000 (multiplicity 4)  6 Nd 2.84-2.95, 1 Ni 2.87
Ni2 0.0000 0.5000 0.3775 (multiplicity 4)  1 Ni 2.53, 2 Nd 2.79
Ag1 0.0000 0.0000 0.0000 (multiplicity 2)  8 Nd 3.07-3.31
Ag2 0.0000 0.0000 0.5000 (multiplicity 2)  12 Nd 3.42-3.79